{"formula": "Mg2TaAl", "functional": "GGA-PBE", "state": "optimized geometry", "cell": [[-2.909, 0.060, 0.095], [0.107, -2.165, 4.618], [0.228, 3.204, 4.974]], "species": ["Al", "Ta", "Mg", "Mg"], "frac_coords": [[0.000, 0.000, 0.500], [0.500, 0.500, 0.500], [0.000, 0.000, 0.000], [0.500, 0.500, 0.000]], "polymorph_energy_ev_per_atom": 0.0282, "volume_a3_per_atom": 18.62, "space_group": "No. 10"}

{"formula": "MgTa2Al", "functional": "GGA-PBE", "state": "optimized geometry", "cell": [[-1.051, -4.455, -0.663], [-0.627, -2.794, 3.632], [-4.236, -1.553, 1.019]], "species": ["Ta", "Ta", "Al", "Mg"], "frac_coords": [[0.250, 0.250, 0.250], [0.750, 0.750, 0.750], [0.500, 0.500, 0.500], [0.000, 0.000, 0.000]], "polymorph_energy_ev_per_atom": 0.3091, "volume_a3_per_atom": 17.49, "space_group": "No. 225"}

{"formula": "MgTa2AlTc", "functional": "GGA-PBE", "state": "optimized geometry", "cell": [[4.741, 0.000, 0.000], [0.000, 4.525, 0.000], [0.000, 0.000, 4.741]], "species": ["Ta", "Ta", "Mg", "Tc", "Al"], "frac_coords": [[0.500, 0.000, 0.000], [0.000, 0.000, 0.500], [0.000, 0.500, 0.000], [0.500, 0.500, 0.500], [0.000, 0.000, 0.000]], "volume_a3_per_atom": 20.34, "space_group": "No. 123", "energy_ha_per_atom": -0.236}